Run one
A plane-wave DFT calculation with PBEsol was carried out for a geometry-optimized AgSb2W structure.

abc: 3.268 4.775 5.560
angles: 99.11 90.00 110.01
Fractional coordinates of all 4 atoms:
Sb1 0.268 0.536 0.275
Sb2 0.732 0.464 0.725
W1 0.000 0.000 0.500
Ag1 0.500 0.000 0.000

Results
Symmetry: C2/m (12)
Density, Mg/m³: 11.1
Total magnetic moment, Bohr magnetons per cell: 0.0


Run two
A plane-wave DFT calculation with PBEsol was carried out for a geometry-optimized AgSb2W structure.

abc: 3.441 4.500 5.418
angles: 90.00 108.52 90.00
Fractional coordinates of all 4 atoms:
Sb1 0.978 0.500 0.956
Sb2 0.263 0.000 0.525
W1 0.546 0.000 0.091
Ag1 0.714 0.500 0.427

Results
Symmetry: Amm2 (38)
Density, Mg/m³: 11.2
Total magnetic moment, Bohr magnetons per cell: 0.0


Run three
A plane-wave DFT calculation with PBEsol was carried out for a geometry-optimized AgSb2W structure.

abc: 3.262 4.560 5.389
angles: 90.00 90.00 90.00
Fractional coordinates of all 4 atoms:
Sb1 0.500 0.000 0.500
Sb2 0.000 0.000 0.000
Ag1 0.000 0.500 0.500
W1 0.500 0.500 0.000

Results
Symmetry: Pmmm (47)
Density, Mg/m³: 11.1
Total magnetic moment, Bohr magnetons per cell: 0.0


Run four
A plane-wave DFT calculation with PBEsol was carried out for a geometry-optimized AgSb2W structure.

abc: 4.062 4.062 5.584
angles: 111.33 111.33 90.00
Fractional coordinates of all 4 atoms:
Ag1 0.250 0.750 0.500
W1 0.500 0.500 0.000
Sb1 0.000 0.000 0.000
Sb2 0.750 0.250 0.500

Results
Symmetry: I-4m2 (119)
Density, Mg/m³: 11.2
Total magnetic moment, Bohr magnetons per cell: 0.9


Most stable of them? run two.


Run one
A plane-wave DFT calculation with PBEsol was carried out for a geometry-optimized Sc5Ag3 structure.

abc: 4.790 5.951 5.951
angles: 107.72 90.00 90.00
Fractional coordinates of all 8 atoms:
Sc1 0.000 0.000 0.500
Sc2 0.000 0.000 0.000
Sc3 0.500 0.726 0.726
Sc4 0.000 0.500 0.000
Sc5 0.500 0.274 0.274
Ag1 0.500 0.776 0.224
Ag2 0.000 0.500 0.500
Ag3 0.500 0.224 0.776

Results
Symmetry: Cmmm (65)
Density, Mg/m³: 5.6
Total magnetic moment, Bohr magnetons per cell: 0.0


Run two
A plane-wave DFT calculation with PBEsol was carried out for a geometry-optimized Sc5Ag3 structure.

abc: 5.496 8.303 8.303
angles: 120.00 90.00 90.00
Fractional coordinates of all 16 atoms:
Sc1 0.250 0.237 0.237
Sc2 0.500 0.333 0.667
Sc3 0.500 0.667 0.333
Sc4 0.750 0.000 0.237
Sc5 0.750 0.763 0.763
Sc6 0.250 0.000 0.763
Sc7 0.250 0.763 0.000
Sc8 0.750 0.237 0.000
Sc9 0.000 0.667 0.333
Sc10 0.000 0.333 0.667
Ag1 0.250 0.000 0.403
Ag2 0.750 0.597 0.000
Ag3 0.250 0.403 0.000
Ag4 0.250 0.597 0.597
Ag5 0.750 0.000 0.597
Ag6 0.750 0.403 0.403

Results
Symmetry: P6_3/mcm (193)
Density, Mg/m³: 5.5
Total magnetic moment, Bohr magnetons per cell: 0.0


Most stable of them? run two.


Run one
A plane-wave DFT calculation with PBEsol was carried out for a geometry-optimized Sc4Ag structure.

abc: 3.386 5.824 6.047
angles: 81.34 73.74 73.10
Fractional coordinates of all 5 atoms:
Ag1 0.000 0.000 0.000
Sc1 0.578 0.213 0.630
Sc2 0.422 0.787 0.370
Sc3 0.767 0.646 0.819
Sc4 0.233 0.354 0.181

Results
Symmetry: C2/m (12)
Density, Mg/m³: 4.4
Total magnetic moment, Bohr magnetons per cell: 0.0


Run two
A plane-wave DFT calculation with PBEsol was carried out for a geometry-optimized Sc4Ag structure.

abc: 3.205 3.205 10.880
angles: 98.47 98.47 90.00
Fractional coordinates of all 5 atoms:
Ag1 0.000 0.000 0.000
Sc1 0.803 0.803 0.606
Sc2 0.588 0.588 0.176
Sc3 0.197 0.197 0.394
Sc4 0.412 0.412 0.824

Results
Symmetry: I4/mmm (139)
Density, Mg/m³: 4.4
Total magnetic moment, Bohr magnetons per cell: 0.0


Most stable of them? run one.


Run one
A plane-wave DFT calculation with PBEsol was carried out for a geometry-optimized SrScAg2 structure.

abc: 4.776 4.776 5.904
angles: 66.14 66.14 60.00
Fractional coordinates of all 4 atoms:
Ag1 0.703 0.703 0.892
Ag2 0.297 0.297 0.108
Sc1 0.000 0.000 0.000
Sr1 0.500 0.500 0.500

Results
Symmetry: R-3m (166)
Density, Mg/m³: 5.6
Total magnetic moment, Bohr magnetons per cell: 0.0


Run two
A plane-wave DFT calculation with PBEsol was carried out for a geometry-optimized SrScAg2 structure.

abc: 3.540 3.540 7.407
angles: 90.00 90.00 90.00
Fractional coordinates of all 4 atoms:
Sc1 0.500 0.500 0.000
Sr1 0.500 0.500 0.500
Ag1 0.000 0.000 0.199
Ag2 0.000 0.000 0.801

Results
Symmetry: P4/mmm (123)
Density, Mg/m³: 6.2
Total magnetic moment, Bohr magnetons per cell: 0.0


Run three
A plane-wave DFT calculation with PBEsol was carried out for a geometry-optimized SrScAg2 structure.

abc: 5.089 5.089 5.089
angles: 60.00 60.00 60.00
Fractional coordinates of all 4 atoms:
Ag1 0.250 0.250 0.250
Ag2 0.750 0.750 0.750
Sc1 0.000 0.000 0.000
Sr1 0.500 0.500 0.500

Results
Symmetry: Fm-3m (225)
Density, Mg/m³: 6.2
Total magnetic moment, Bohr magnetons per cell: 0.0


Most stable of them? run two.